1.
The following is a PBE-GGA calculation of a relaxed structure of NaMg6Ag6, from Alexandria.

Results
Theoretical density   5.1 Mg/m³
V   267.11 Å³/f.u.
Total DFT energy (no corrections)   -0.16952 Ry per atom
Formation energy from the elements   -0.153 eV per atom
Total magnetization   0.00 μB per atom

Cell: 5.680 9.558 9.840 Å, 90.00 90.00 90.00°
Space group Immm (No. 71)
Symmetry-distinct sites (fractional):
Na (0.000, 0.000, 0.000) x2
Mg (0.000, 0.000, 0.345) x4
Mg (0.000, 0.336, 0.000) x4
Mg (0.000, 0.500, 0.315) x4
Ag (0.000, 0.264, 0.500) x4
Ag (0.250, 0.250, 0.250) x8

2.
The following is a PBE-GGA calculation of a relaxed structure of PrSm3Hg6, from Alexandria.

Results
Theoretical density   11.1 Mg/m³
V   268.88 Å³/f.u.
Total DFT energy (no corrections)   -0.18473 Ry per atom
Formation energy from the elements   -0.439 eV per atom
Total magnetization   0.00 μB per atom

Cell: 9.417 5.249 11.382 Å, 90.00 107.09 90.00°
Space group P2_1/m (No. 11)
Symmetry-distinct sites (fractional):
Pr (0.066, 0.250, 0.385) x2
Sm (0.226, 0.250, 0.006) x2
Sm (0.354, 0.750, 0.801) x2
Sm (0.492, 0.250, 0.615) x2
Hg (0.063, 0.750, 0.903) x2
Hg (0.139, 0.750, 0.202) x2
Hg (0.169, 0.250, 0.690) x2
Hg (0.248, 0.750, 0.515) x2
Hg (0.351, 0.250, 0.293) x2
Hg (0.463, 0.750, 0.091) x2

3.
The following is a PBE-GGA calculation of a relaxed structure of Ta2FeSe, from Alexandria.

Results
Theoretical density   12.9 Mg/m³
V   63.84 Å³/f.u.
Total DFT energy (no corrections)   -0.65305 Ry per atom
Total magnetization   0.28 μB per atom

Cell: 9.284 3.100 4.665 Å, 90.00 108.02 90.00°
Space group Cm (No. 8)
Symmetry-distinct sites (fractional):
Ta (0.000, 0.000, 0.000) x2
Ta (0.211, 0.000, 0.635) x2
Fe (0.229, 0.500, 0.137) x2
Se (0.461, 0.000, 0.480) x2

4.
The following is a PBE-GGA calculation of a relaxed structure of Ba7SrMg4, from Alexandria.

Results
Theoretical density   3.3 Mg/m³
V   582.48 Å³/f.u.
Total DFT energy (no corrections)   -0.12515 Ry per atom
Formation energy from the elements   0.090 eV per atom
Total magnetization   0.00 μB per atom

Cell: 16.687 6.766 12.515 Å, 90.00 124.48 90.00°
Space group C2/m (No. 12)
Symmetry-distinct sites (fractional):
Ba (0.000, 0.000, 0.000) x2
Ba (0.070, 0.500, 0.388) x4
Ba (0.196, 0.000, 0.641) x4
Ba (0.222, 0.500, 0.887) x4
Sr (0.000, 0.500, 0.000) x2
Mg (0.044, 0.000, 0.762) x4
Mg (0.178, 0.000, 0.334) x4

5.
The following is a PBE-GGA calculation of a relaxed structure of MnNbS4, from Alexandria.

Results
Theoretical density   4.0 Mg/m³
V   114.63 Å³/f.u.
Total DFT energy (no corrections)   -0.48310 Ry per atom
Total magnetization   0.61 μB per atom

Cell: 6.775 5.482 7.062 Å, 90.00 119.08 90.00°
Space group P2_1/c (No. 14)
Symmetry-distinct sites (fractional):
Mn (0.000, 0.000, 0.000) x2
Nb (0.500, 0.000, 0.000) x2
S (0.167, 0.246, 0.349) x4
S (0.323, 0.746, 0.660) x4

6.
The following is a PBE-GGA calculation of a relaxed structure of La3SmY2S6, from Alexandria.

Results
Theoretical density   5.5 Mg/m³
V   281.97 Å³/f.u.
Total DFT energy (no corrections)   -0.50428 Ry per atom
Total magnetization   0.00 μB per atom

Cell: 6.982 12.120 7.062 Å, 90.00 109.33 90.00°
Space group C2/m (No. 12)
Symmetry-distinct sites (fractional):
La (0.000, 0.000, 0.000) x2
La (0.000, 0.335, 0.000) x4
Sm (0.000, 0.500, 0.500) x2
Y (0.000, 0.167, 0.500) x4
S (0.239, 0.000, 0.732) x4
S (0.247, 0.331, 0.734) x8

7.
The following is a PBE-GGA calculation of a relaxed structure of CeScReTc, from Alexandria.

Results
Theoretical density   10.5 Mg/m³
V   74.22 Å³/f.u.
Total DFT energy (no corrections)   -0.64464 Ry per atom
Formation energy from the elements   -0.001 eV per atom
Total magnetization   0.00 μB per atom

Cell: 6.671 6.671 6.671 Å, 90.00 90.00 90.00°
Space group F-43m (No. 216)
Symmetry-distinct sites (fractional):
Ce (0.000, 0.000, 0.000) x4
Sc (0.000, 0.000, 0.500) x4
Re (0.250, 0.250, 0.250) x4
Tc (0.250, 0.250, 0.750) x4

8.
The following is a PBE-GGA calculation of a relaxed structure of Mg2TeAs2, from Alexandria.

Results
Offset from the most stable computed form   189 meV per atom
Theoretical density   4.8 Mg/m³
V   113.05 Å³/f.u.
Total DFT energy (no corrections)   -0.24230 Ry per atom
Total magnetization   0.00 μB per atom

Cell: 7.837 7.837 3.681 Å, 90.00 90.00 90.00°
Space group P4/mbm (No. 127)
Symmetry-distinct sites (fractional):
Mg (0.141, 0.359, 0.000) x4
Te (0.000, 0.000, 0.500) x2
As (0.168, 0.668, 0.500) x4

9.
The following is a PBE-GGA calculation of a relaxed structure of PbW4Au, from Alexandria.

Results
Theoretical density   16.9 Mg/m³
V   111.82 Å³/f.u.
Total DFT energy (no corrections)   -0.65891 Ry per atom
Formation energy from the elements   0.835 eV per atom
Total magnetization   0.00 μB per atom

Cell: 7.648 7.648 7.648 Å, 90.00 90.00 90.00°
Space group F-43m (No. 216)
Symmetry-distinct sites (fractional):
Pb (0.000, 0.000, 0.000) x4
W (0.123, 0.123, 0.623) x16
Au (0.250, 0.250, 0.250) x4

10.
The following is a PBE-GGA calculation of a relaxed structure of CsHg2BiPd, from Alexandria.

Results
Theoretical density   8.5 Mg/m³
V   165.71 Å³/f.u.
Total DFT energy (no corrections)   -0.16627 Ry per atom
Formation energy from the elements   -0.156 eV per atom
Total magnetization   0.00 μB per atom

Cell: 5.489 5.489 5.500 Å, 90.00 90.00 90.00°
Space group P4/mmm (No. 123)
Symmetry-distinct sites (fractional):
Cs (0.000, 0.000, 0.000) x1
Hg (0.000, 0.500, 0.500) x2
Bi (0.500, 0.500, 0.000) x1
Pd (0.500, 0.500, 0.500) x1

11.
The following is a PBE-GGA calculation of a relaxed structure of Ca4GeIr, from Alexandria.

Results
Theoretical density   4.1 Mg/m³
V   170.61 Å³/f.u.
Total DFT energy (no corrections)   -0.29619 Ry per atom
Formation energy from the elements   -0.449 eV per atom
Total magnetization   0.00 μB per atom

Cell: 9.192 13.623 6.301 Å, 90.00 120.13 90.00°
Space group C2/c (No. 15)
Symmetry-distinct sites (fractional):
Ca (0.120, 0.172, 0.081) x8
Ca (0.207, 0.441, 0.285) x8
Ge (0.000, 0.362, 0.750) x4
Ir (0.000, 0.003, 0.250) x4

12.
The following is a PBE-GGA calculation of a relaxed structure of YMnCl2, from Alexandria.

Results
Offset from the most stable computed form   272 meV per atom
Theoretical density   4.0 Mg/m³
V   89.89 Å³/f.u.
Total DFT energy (no corrections)   -0.40545 Ry per atom
Total magnetization   0.99 μB per atom

Cell: 6.474 8.926 3.610 Å, 90.00 120.48 90.00°
Space group C2/m (No. 12)
Symmetry-distinct sites (fractional):
Y (0.000, 0.000, 0.000) x2
Mn (0.000, 0.500, 0.000) x2
Cl (0.250, 0.250, 0.000) x4

13.
The following is a PBE-GGA calculation of a relaxed structure of Ca2UI8, from Alexandria.

Results
Theoretical density   4.4 Mg/m³
V   506.87 Å³/f.u.
Total DFT energy (no corrections)   -0.26825 Ry per atom
Total magnetization   0.18 μB per atom

Cell: 15.612 7.846 8.276 Å, 90.00 90.18 90.00°
Space group C2/m (No. 12)
Symmetry-distinct sites (fractional):
Ca (0.131, 0.000, 0.459) x4
U (0.000, 0.000, 0.000) x2
I (0.034, 0.248, 0.728) x8
I (0.186, 0.000, 0.095) x4
I (0.197, 0.500, 0.398) x4

14.
The following is a PBE-GGA calculation of a relaxed structure of AgSbW2, from Alexandria.

Results
Theoretical density   13.9 Mg/m³
V   71.54 Å³/f.u.
Total DFT energy (no corrections)   -0.54651 Ry per atom
Total magnetization   0.00 μB per atom

Cell: 3.302 4.599 4.711 Å, 90.00 90.00 90.00°
Space group Pmmm (No. 47)
Symmetry-distinct sites (fractional):
Ag (0.000, 0.000, 0.000) x1
Sb (0.500, 0.500, 0.000) x1
W (0.000, 0.500, 0.500) x1
W (0.500, 0.000, 0.500) x1

15.
The following is a PBE-GGA calculation of a relaxed structure of InSe5, from Alexandria.

Results
Offset from the most stable computed form   422 meV per atom
Theoretical density   6.5 Mg/m³
V   129.72 Å³/f.u.
Total DFT energy (no corrections)   -0.22110 Ry per atom
Total magnetization   0.00 μB per atom

Cell: 3.519 3.519 10.473 Å, 90.00 90.00 90.00°
Space group P4/mmm (No. 123)
Symmetry-distinct sites (fractional):
In (0.000, 0.000, 0.000) x1
Se (0.000, 0.000, 0.351) x2
Se (0.500, 0.500, 0.163) x2
Se (0.500, 0.500, 0.500) x1

16.
The following is a PBE-GGA calculation of a relaxed structure of Pr3Nd3Dy, from Alexandria.

Results
Offset from the most stable computed form   186 meV per atom
Theoretical density   6.7 Mg/m³
V   253.70 Å³/f.u.
Total DFT energy (no corrections)   -0.33324 Ry per atom
Formation energy from the elements   0.215 eV per atom
Total magnetization   0.00 μB per atom

Cell: 8.8496 8.8496 22.4436 Å, 90.00 90.00 120.00°
Space group R-3 (No. 148, hexagonal axes)
Symmetry-distinct sites (fractional):
Pr (0.0040, 0.2418, 0.0583) x18
Nd (0.0493, 0.4478, 0.8809) x18
Dy (0.0000, 0.0000, 0.3450) x6

17.
The following is a PBE-GGA calculation of a relaxed structure of Ce4NdHg5, from Alexandria.

Results
Theoretical density   10.1 Mg/m³
V   281.24 Å³/f.u.
Total DFT energy (no corrections)   -0.24405 Ry per atom
Formation energy from the elements   -0.319 eV per atom
Total magnetization   0.03 μB per atom

Cell: 3.794 3.794 19.540 Å, 90.00 90.00 90.00°
Space group P4/mmm (No. 123)
Symmetry-distinct sites (fractional):
Ce (0.000, 0.000, 0.100) x2
Ce (0.000, 0.000, 0.300) x2
Nd (0.000, 0.000, 0.500) x1
Hg (0.500, 0.500, 0.000) x1
Hg (0.500, 0.500, 0.200) x2
Hg (0.500, 0.500, 0.401) x2

18.
The following is a PBE-GGA calculation of a relaxed structure of BaSrMnPd2, from Alexandria.

Results
Theoretical density   6.0 Mg/m³
V   137.49 Å³/f.u.
Total DFT energy (no corrections)   -0.32244 Ry per atom
Formation energy from the elements   0.245 eV per atom
Total magnetization   0.66 μB per atom

Cell: 5.083 5.083 5.320 Å, 90.00 90.00 90.00°
Space group P4/mmm (No. 123)
Symmetry-distinct sites (fractional):
Ba (0.000, 0.000, 0.000) x1
Sr (0.500, 0.500, 0.000) x1
Mn (0.000, 0.000, 0.500) x1
Pd (0.000, 0.500, 0.500) x2

19.
The following is a PBE-GGA calculation of a relaxed structure of AcTb3Rh, from Alexandria.

Results
Theoretical density   8.0 Mg/m³
V   167.21 Å³/f.u.
Total DFT energy (no corrections)   -0.39274 Ry per atom
Formation energy from the elements   -0.273 eV per atom
Total magnetization   0.00 μB per atom

Cell: 5.509 5.509 5.509 Å, 90.00 90.00 90.00°
Space group Pm-3m (No. 221)
Symmetry-distinct sites (fractional):
Ac (0.000, 0.000, 0.000) x1
Tb (0.000, 0.500, 0.500) x3
Rh (0.500, 0.500, 0.500) x1

20.
The following is a PBE-GGA calculation of a relaxed structure of Dy6YHo2Th, from Alexandria.

Results
Theoretical density   8.4 Mg/m³
V   320.80 Å³/f.u.
Total DFT energy (no corrections)   -0.36133 Ry per atom
Formation energy from the elements   0.149 eV per atom
Total magnetization   0.00 μB per atom

Cell: 9.203 14.914 9.398 Å, 90.00 95.83 90.00°
Space group C2/c (No. 15)
Symmetry-distinct sites (fractional):
Dy (0.059, 0.177, 0.441) x8
Dy (0.096, 0.387, 0.614) x8
Dy (0.208, 0.223, 0.817) x8
Y (0.000, 0.409, 0.250) x4
Ho (0.248, 0.450, 0.948) x8
Th (0.000, 0.033, 0.750) x4

21.
The following is a PBE-GGA calculation of a relaxed structure of ErTm2ScS6, from Alexandria.

Results
Theoretical density   5.2 Mg/m³
V   237.54 Å³/f.u.
Total DFT energy (no corrections)   -0.47557 Ry per atom
Total magnetization   0.00 μB per atom

Cell: 6.7324 6.7324 18.1544 Å, 90.00 90.00 120.00°
Space group R3 (No. 146, hexagonal axes)
Symmetry-distinct sites (fractional):
Er (0.0000, 0.0000, 0.0000) x3
Tm (0.0000, 0.0000, 0.2992) x3
Tm (0.0000, 0.0000, 0.8016) x3
Sc (0.0000, 0.0000, 0.4967) x3
S (0.0321, 0.3497, 0.5667) x9
S (0.0369, 0.6688, 0.0688) x9

22.
The following is a PBE-GGA calculation of a relaxed structure of CsTiInI6, from Alexandria.

Results
Theoretical density   3.8 Mg/m³
V   461.13 Å³/f.u.
Total DFT energy (no corrections)   -0.23176 Ry per atom
Total magnetization   0.00 μB per atom

Cell: 7.9669 7.9669 8.3887 Å, 90.00 90.00 120.00°
Space group P312 (No. 149)
Symmetry-distinct sites (fractional):
Cs (0.0000, 0.0000, 0.0000) x1
Ti (0.6667, 0.3333, 0.5000) x1
In (0.3333, 0.6667, 0.5000) x1
I (0.3856, 0.0442, 0.6917) x6

23.
The following is a PBE-GGA calculation of a relaxed structure of CoMo2IrN, from Alexandria.

Results
Theoretical density   12.0 Mg/m³
V   63.49 Å³/f.u.
Total DFT energy (no corrections)   -0.68438 Ry per atom
Total magnetization   0.00 μB per atom

Cell: 4.075 4.075 3.824 Å, 90.00 90.00 90.00°
Space group P4/mmm (No. 123)
Symmetry-distinct sites (fractional):
Co (0.000, 0.000, 0.000) x1
Mo (0.000, 0.500, 0.500) x2
Ir (0.500, 0.500, 0.000) x1
N (0.000, 0.000, 0.500) x1